[1]
Compound: CoCuNi2
Source: Alexandria
Functional: PBEsol
Structure: relaxed

Summary:
calculated formation energy: 66 meV per atom
magnetization: 0.66 μB per atom

Unit cell a=2.4404 b=4.0382 c=4.2907 alpha=90.00 beta=90.00 gamma=90.00
Last column: nearest neighbours and their distance in Å.
Space group Pmm2 (No. 25)
Asymmetric unit:
Co 0.0000 0.0000 0.0000 [1 per cell]  2 Co 2.44, 8 Ni 2.45-2.48, 2 Cu 2.48
Cu 0.0000 0.5000 0.6662 [1 per cell]  2 Cu 2.44, 8 Ni 2.47, 2 Co 2.48
Ni 0.5000 0.0000 0.4964 [1 per cell]  4 Ni 2.44-2.47, 4 Co 2.45-2.48, 4 Cu 2.47
Ni 0.5000 0.5000 0.1656 [1 per cell]  4 Ni 2.44-2.47, 4 Co 2.46, 4 Cu 2.47

[2]
Compound: Nb3PtS
Source: Alexandria
Functional: PBEsol
Structure: relaxed

Summary:
formation energy without anion corrections: 1246 meV/atom
magnetization: 0.00 μB per atom
offset from the most stable computed form: 1174.3 meV per atom

Unit cell a=4.8571 b=4.8571 c=4.8571 alpha=90.00 beta=90.00 gamma=90.00
Last column: nearest neighbours and their distance in Å.
Space group Pm-3m (No. 221)
Asymmetric unit:
Nb 0.0000 0.0000 0.5000 [3 per cell]  2 Pt 2.43
Pt 0.0000 0.0000 0.0000 [1 per cell]  6 Nb 2.43
S 0.5000 0.5000 0.5000 [1 per cell]  12 Nb 3.43

[3]
Compound: ZnBiPdCl2
Source: Alexandria
Functional: PBEsol
Structure: relaxed

Summary:
formation energy without anion corrections: 34 meV/atom
magnetization: 0.00 μB per atom

Unit cell a=4.6654 b=4.6654 c=5.1840 alpha=90.00 beta=90.00 gamma=90.00
Last column: nearest neighbours and their distance in Å.
Space group P4/mmm (No. 123)
Asymmetric unit:
Zn 0.0000 0.0000 0.0000 [1 per cell]  2 Pd 2.59
Bi 0.5000 0.5000 0.0000 [1 per cell]  4 Zn 3.30, 8 Cl 3.49
Pd 0.0000 0.0000 0.5000 [1 per cell]  4 Cl 2.33, 2 Zn 2.59
Cl 0.0000 0.5000 0.5000 [2 per cell]  2 Pd 2.33

[4]
Compound: RbMgMn2Ni
Source: Alexandria
Functional: PBEsol
Structure: relaxed

Summary:
calculated formation energy: 2544 meV per atom
magnetization: 1.40 μB per atom

Unit cell a=4.6056 b=4.6056 c=5.1184 alpha=90.00 beta=90.00 gamma=90.00
Last column: nearest neighbours and their distance in Å.
Space group P4/mmm (No. 123)
Asymmetric unit:
Rb 0.0000 0.0000 0.0000 [1 per cell]  4 Mn 2.30, 2 Mg 2.56
Mg 0.0000 0.0000 0.5000 [1 per cell]  2 Rb 2.56
Mn 0.0000 0.5000 0.0000 [2 per cell]  2 Rb 2.30
Ni 0.5000 0.5000 0.5000 [1 per cell]  4 Mg 3.26, 8 Mn 3.44

[5]
Compound: PmSnAu2
Source: Alexandria
Functional: PBEsol
Structure: relaxed

Summary:
calculated formation energy: -706 meV per atom
magnetization: 0.00 μB per atom

Unit cell a=7.0067 b=7.0067 c=7.0067 alpha=90.00 beta=90.00 gamma=90.00
Last column: nearest neighbours and their distance in Å.
Space group Fm-3m (No. 225)
Asymmetric unit:
Pm 0.0000 0.0000 0.0000 [4 per cell]  8 Au 3.03
Sn 0.0000 0.0000 0.5000 [4 per cell]  8 Au 3.03
Au 0.2500 0.2500 0.2500 [8 per cell]  4 Sn 3.03, 4 Pm 3.03

[6]
Compound: Sr4Mn3O10
Source: Alexandria
Functional: PBEsol
Structure: relaxed

Summary:
formation energy without anion corrections: -2389 meV/atom
magnetization: 0.53 μB per atom

Unit cell a=5.4365 b=12.3791 c=12.5074 alpha=90.00 beta=90.00 gamma=90.00
Last column: nearest neighbours and their distance in Å.
Space group Cmce (No. 64)
Asymmetric unit:
Sr 0.0000 0.0289 0.1428 [8 per cell]  6 O 2.41-2.64
Sr 0.0000 0.2369 0.3870 [8 per cell]  7 O 2.52-2.77
Mn 0.0000 0.0000 0.5000 [4 per cell]  6 O 1.88-1.90
Mn 0.0000 0.1333 0.6520 [8 per cell]  5 O 1.77-1.93
O 0.0000 0.0364 0.3537 [8 per cell]  2 Mn 1.88-2.10
O 0.0000 0.2236 0.1554 [8 per cell]  1 Mn 1.77
O 0.2296 0.1098 0.5363 [16 per cell]  2 Mn 1.90-1.93
O 0.2500 0.1162 0.7500 [8 per cell]  2 Mn 1.84